# GGA-PBE BaGeRu3, relaxed
# Crystal system: cubic
# ΔE to the lowest computed polymorph in eV per atom: 1.908
# E_tot in eV/f.u.: -21.28
# Calculated formation energy in eV per formula unit: 13.09
data_BaGeRu3
_symmetry_space_group_name_H-M 'P m -3 m'
_symmetry_Int_Tables_number 221
_symmetry_space_group_name_Hall '-P 4 2 3'
_cell_length_a 5.042
_cell_length_b 5.042
_cell_length_c 5.042
_cell_angle_alpha 90.00
_cell_angle_beta 90.00
_cell_angle_gamma 90.00
loop_
_atom_site_label
_atom_site_fract_x
_atom_site_fract_y
_atom_site_fract_z
Ba1 0.000 0.000 0.000
Ge1 0.500 0.500 0.500
Ru1 0.000 0.000 0.500